# 1
This record from Alexandria describes an optimized crystal structure of AgC. The functional is GGA-PBE.

Computed properties:
Energy above the lowest structure with this stoichiometry, eV per formula unit: 0.84
Space-group type: Imma (74)
Theoretical density, g/cm³: 5.01
Total magnetization, μB/f.u.: 0.0
Final energy, eV per atom: -5.213

a b c (Å): 2.6028 2.9231 20.8723
angles (deg): 90.00 90.00 90.00
Closest atoms and distances in Å follow each position.
Fractional coordinates of all 8 atoms:
Ag: 0.0000 0.2500 0.0592  4 Ag 2.60-2.87
Ag: 0.0000 0.7500 0.9408  4 Ag 2.60-2.87
Ag: 0.5000 0.2500 0.4408  4 Ag 2.60-2.87
Ag: 0.5000 0.7500 0.5592  4 Ag 2.60-2.87
C: 0.0000 0.2500 0.7500  2 C 1.30
C: 0.0000 0.7500 0.2500  2 C 1.30
C: 0.5000 0.2500 0.7500  2 C 1.30
C: 0.5000 0.7500 0.2500  2 C 1.30



# 2
This record from Alexandria describes an optimized crystal structure of Ag5C4. The functional is GGA-PBE.

Computed properties:
Energy above the lowest structure with this stoichiometry, eV per formula unit: 8.40
Space-group type: P6_3/mcm (193)
Theoretical density, g/cm³: 8.05
Total magnetization, μB/f.u.: 0.0
Final energy, eV per atom: -3.634

a b c (Å): 6.5238 6.5238 6.5786
angles (deg): 90.00 90.00 120.00
Closest atoms and distances in Å follow each position.
Fractional coordinates of all 18 atoms:
Ag: 0.0000 0.2640 0.2500  5 C 2.20-2.38
Ag: 0.0000 0.7360 0.7500  5 C 2.20-2.38
Ag: 0.2640 0.0000 0.2500  5 C 2.20-2.38
Ag: 0.2640 0.2640 0.7500  5 C 2.20-2.38
Ag: 0.3333 0.6667 0.0000  6 C 2.59
Ag: 0.3333 0.6667 0.5000  6 C 2.59
Ag: 0.6667 0.3333 0.0000  6 C 2.59
Ag: 0.6667 0.3333 0.5000  6 C 2.59
Ag: 0.7360 0.0000 0.7500  5 C 2.20-2.38
Ag: 0.7360 0.7360 0.2500  5 C 2.20-2.38
C: 0.0000 0.0000 0.0000  6 Ag 2.38
C: 0.0000 0.0000 0.5000  6 Ag 2.38
C: 0.0000 0.3984 0.7500  3 Ag 2.20-2.29
C: 0.0000 0.6016 0.2500  3 Ag 2.20-2.29
C: 0.3984 0.0000 0.7500  3 Ag 2.20-2.29
C: 0.3984 0.3984 0.2500  3 Ag 2.20-2.29
C: 0.6016 0.0000 0.2500  3 Ag 2.20-2.29
C: 0.6016 0.6016 0.7500  3 Ag 2.20-2.29



# 3
This record from Alexandria describes an optimized crystal structure of AgC. The functional is GGA-PBE.

Computed properties:
Energy above the lowest structure with this stoichiometry, eV per formula unit: 1.21
Space-group type: Cmmm (65)
Theoretical density, g/cm³: 5.72
Total magnetization, μB/f.u.: 0.0
Final energy, eV per atom: -5.030

a b c (Å): 6.8352 7.0040 4.3621
angles (deg): 90.00 90.00 90.00
Closest atoms and distances in Å follow each position.
Fractional coordinates of all 12 atoms:
Ag: 0.0000 0.0000 0.0000  2 C 2.10
Ag: 0.2407 0.5000 0.5000  2 C 2.21
Ag: 0.2593 0.0000 0.5000  2 C 2.21
Ag: 0.5000 0.5000 0.0000  2 C 2.10
Ag: 0.7407 0.0000 0.5000  2 C 2.21
Ag: 0.7593 0.5000 0.5000  2 C 2.21
C: 0.0000 0.5000 0.0000  2 C 1.32
C: 0.1932 0.5000 0.0000  1 C 1.32
C: 0.3068 0.0000 0.0000  1 C 1.32
C: 0.5000 0.0000 0.0000  2 C 1.32
C: 0.6932 0.0000 0.0000  1 C 1.32
C: 0.8068 0.5000 0.0000  1 C 1.32



# 4
This record from Alexandria describes an optimized crystal structure of Ag4C3. The functional is GGA-PBE.

Computed properties:
Energy above the lowest structure with this stoichiometry, eV per formula unit: 1.41
Space-group type: P6/mmm (191)
Theoretical density, g/cm³: 8.11
Total magnetization, μB/f.u.: 0.0
Final energy, eV per atom: -3.519

a b c (Å): 4.4504 4.4504 5.5774
angles (deg): 90.00 90.00 120.00
Closest atoms and distances in Å follow each position.
Fractional coordinates of all 7 atoms:
Ag: 0.0000 0.0000 0.2454  6 C 2.61, 2 Ag 2.74-2.84
Ag: 0.0000 0.0000 0.7546  6 C 2.61, 2 Ag 2.74-2.84
Ag: 0.3333 0.6667 0.5000  3 Ag 2.57
Ag: 0.6667 0.3333 0.5000  3 Ag 2.57
C: 0.0000 0.5000 0.0000  4 C 2.23
C: 0.5000 0.0000 0.0000  4 C 2.23
C: 0.5000 0.5000 0.0000  4 C 2.23



# 5
This record from Alexandria describes an optimized crystal structure of AgC. The functional is GGA-PBE.

Computed properties:
Energy above the lowest structure with this stoichiometry, eV per formula unit: 1.12
Space-group type: Fddd (70)
Theoretical density, g/cm³: 5.47
Total magnetization, μB/f.u.: 0.0
Final energy, eV per atom: -5.074

a b c (Å): 8.2264 7.2278 5.1250
angles (deg): 81.59 60.36 38.05
Closest atoms and distances in Å follow each position.
Fractional coordinates of all 8 atoms:
Ag: 0.0590 0.0590 0.6910  2 C 2.21
Ag: 0.3090 0.3090 0.9410  2 C 2.21
Ag: 0.6910 0.6910 0.0590  2 C 2.21
Ag: 0.9410 0.9410 0.3090  2 C 2.21
C: 0.0553 0.1947 0.0553  1 C 1.27
C: 0.1947 0.0553 0.1947  1 C 1.27
C: 0.8053 0.9447 0.8053  1 C 1.27
C: 0.9447 0.8053 0.9447  1 C 1.27



# 6
This record from Alexandria describes an optimized crystal structure of AgC. The functional is GGA-PBE.

Computed properties:
Energy above the lowest structure with this stoichiometry, eV per formula unit: 3.66
Space-group type: P6/mmm (191)
Theoretical density, g/cm³: 7.51
Total magnetization, μB/f.u.: 0.0
Final energy, eV per atom: -3.805

a b c (Å): 4.8556 4.8556 3.8967
angles (deg): 90.00 90.00 120.00
Closest atoms and distances in Å follow each position.
Fractional coordinates of all 6 atoms:
Ag: 0.0000 0.0000 0.0000  6 C 2.43
Ag: 0.3333 0.6667 0.5000  6 C 2.40
Ag: 0.6667 0.3333 0.5000  6 C 2.40
C: 0.0000 0.5000 0.0000  6 Ag 2.40-2.43, 4 C 2.43
C: 0.5000 0.0000 0.0000  6 Ag 2.40-2.43, 4 C 2.43
C: 0.5000 0.5000 0.0000  6 Ag 2.40-2.43, 4 C 2.43



# 7
This record from Alexandria describes an optimized crystal structure of Ag7C6. The functional is GGA-PBE.

Computed properties:
Space-group type: R-3m (166)
Theoretical density, g/cm³: 6.18
Total magnetization, μB/f.u.: 0.0
Final energy, eV per atom: -4.337

a b c (Å): 7.9565 7.9565 7.9565
angles (deg): 44.19 44.19 44.19
Closest atoms and distances in Å follow each position.
Fractional coordinates of all 13 atoms:
Ag: 0.0000 0.0000 0.0000  6 Ag 2.78
Ag: 0.0678 0.0678 0.5622  3 C 2.14-2.34
Ag: 0.0678 0.5622 0.0678  3 C 2.14-2.34
Ag: 0.4378 0.9322 0.9322  3 C 2.14-2.34
Ag: 0.5622 0.0678 0.0678  3 C 2.14-2.34
Ag: 0.9322 0.4378 0.9322  3 C 2.14-2.34
Ag: 0.9322 0.9322 0.4378  3 C 2.14-2.34
C: 0.1581 0.1581 0.1581  6 Ag 2.14-2.34
C: 0.2993 0.2993 0.2993  1 C 1.28
C: 0.3588 0.3588 0.3588  1 C 1.28
C: 0.6412 0.6412 0.6412  1 C 1.28
C: 0.7007 0.7007 0.7007  1 C 1.28
C: 0.8419 0.8419 0.8419  6 Ag 2.14-2.34



# 8
This record from Alexandria describes an optimized crystal structure of Ag4C5. The functional is GGA-PBE.

Computed properties:
Energy above the lowest structure with this stoichiometry, eV per formula unit: 7.91
Space-group type: P6_3/mcm (193)
Theoretical density, g/cm³: 6.39
Total magnetization, μB/f.u.: 0.0
Final energy, eV per atom: -4.153

a b c (Å): 5.9754 5.9754 8.2644
angles (deg): 90.00 90.00 120.00
Closest atoms and distances in Å follow each position.
Fractional coordinates of all 18 atoms:
Ag: 0.0000 0.0000 0.0000  6 C 2.23
Ag: 0.0000 0.0000 0.5000  6 C 2.23
Ag: 0.0000 0.4910 0.2500  1 C 2.09
Ag: 0.0000 0.5090 0.7500  1 C 2.09
Ag: 0.4910 0.0000 0.2500  1 C 2.09
Ag: 0.4910 0.4910 0.7500  1 C 2.09
Ag: 0.5090 0.0000 0.7500  1 C 2.09
Ag: 0.5090 0.5090 0.2500  1 C 2.09
C: 0.0000 0.1411 0.2500  2 C 1.46
C: 0.0000 0.8589 0.7500  2 C 1.46
C: 0.1411 0.0000 0.2500  2 C 1.46
C: 0.1411 0.1411 0.7500  2 C 1.46
C: 0.3333 0.6667 0.0000  6 Ag 2.69
C: 0.3333 0.6667 0.5000  6 Ag 2.69
C: 0.6667 0.3333 0.0000  6 Ag 2.69
C: 0.6667 0.3333 0.5000  6 Ag 2.69
C: 0.8589 0.0000 0.7500  2 C 1.46
C: 0.8589 0.8589 0.2500  2 C 1.46